Record 1
{"formula": "Co21B6Mo2", "functional": "PBE-GGA", "state": "relaxed", "cell": [[0.0000, 5.2305, 5.2305], [5.2305, 0.0000, 5.2305], [5.2305, 5.2305, 0.0000]], "species": ["Co", "Co", "Co", "Co", "Co", "Co", "Co", "Co", "Co", "Co", "Co", "Co", "Co", "Co", "Co", "Co", "Co", "Co", "Co", "Co", "Co", "B", "B", "B", "B", "B", "B", "Mo", "Mo"], "fractional_positions": [[0.0000, 0.0000, 0.0000], [0.0000, 0.0000, 0.3385], [0.0000, 0.0000, 0.6615], [0.0000, 0.3385, 0.0000], [0.0000, 0.3385, 0.6615], [0.0000, 0.6615, 0.0000], [0.0000, 0.6615, 0.3385], [0.1458, 0.6181, 0.6181], [0.3385, 0.0000, 0.0000], [0.3385, 0.0000, 0.6615], [0.3385, 0.6615, 0.0000], [0.3819, 0.3819, 0.3819], [0.3819, 0.3819, 0.8542], [0.3819, 0.8542, 0.3819], [0.6181, 0.1458, 0.6181], [0.6181, 0.6181, 0.1458], [0.6181, 0.6181, 0.6181], [0.6615, 0.0000, 0.0000], [0.6615, 0.0000, 0.3385], [0.6615, 0.3385, 0.0000], [0.8542, 0.3819, 0.3819], [0.2747, 0.2747, 0.7253], [0.2747, 0.7253, 0.2747], [0.2747, 0.7253, 0.7253], [0.7253, 0.2747, 0.2747], [0.7253, 0.2747, 0.7253], [0.7253, 0.7253, 0.2747], [0.2500, 0.2500, 0.2500], [0.7500, 0.7500, 0.7500]], "total_magnetization_mub_per_fu": 0.23, "space_group": "Fm-3m, No. 225", "total_energy_ry_per_atom": -0.5463, "crystal_system": "cubic"}

---

Record 2
{"formula": "SmFe2BP", "functional": "PBE-GGA", "state": "relaxed", "cell": [[-1.8689, 1.8689, 4.9172], [1.8689, -1.8689, 4.9172], [1.8689, 1.8689, -4.9172]], "species": ["Sm", "Fe", "Fe", "B", "P"], "fractional_positions": [[0.0000, 0.0000, 0.0000], [0.2602, 0.7602, 0.5000], [0.7602, 0.2602, 0.5000], [0.3426, 0.3426, 0.0000], [0.6468, 0.6468, 0.0000]], "total_magnetization_mub_per_fu": 0.02, "space_group": "I4mm, No. 107", "total_energy_ry_per_atom": -0.5426, "crystal_system": "tetragonal"}

---

Record 3
{"formula": "HoSiHO4", "functional": "PBE-GGA", "state": "relaxed", "cell": [[4.3105, 0.0000, 0.0000], [0.0000, 4.7597, 0.0000], [-3.9462, 0.0000, 7.6234]], "species": ["Ho", "Ho", "Si", "Si", "H", "H", "O", "O", "O", "O", "O", "O", "O", "O"], "fractional_positions": [[0.0000, 0.0981, 0.0000], [0.0000, 0.9019, 0.5000], [0.6487, 0.4377, 0.2337], [0.6487, 0.5623, 0.7337], [0.2413, 0.3493, 0.3550], [0.2413, 0.6507, 0.8550], [0.3178, 0.3061, 0.2594], [0.3178, 0.6939, 0.7594], [0.5707, 0.2682, 0.0530], [0.5707, 0.7318, 0.5530], [0.6838, 0.2247, 0.7277], [0.6838, 0.7753, 0.2277], [0.9864, 0.3442, 0.4214], [0.9864, 0.6558, 0.9214]], "polymorph_energy_mev_per_atom": 142, "total_magnetization_mub_per_fu": 0.00, "space_group": "Pc, No. 7", "crystal_system": "monoclinic"}

---

Record 4
{"formula": "BaLu2", "functional": "PBE-GGA", "state": "relaxed", "cell": [[0.0000, 7.9176, 7.9176], [7.9176, 0.0000, 7.9176], [7.9176, 7.9176, 0.0000]], "species": ["Ba", "Ba", "Lu", "Lu", "Lu", "Lu"], "fractional_positions": [[0.1250, 0.1250, 0.1250], [0.8750, 0.8750, 0.8750], [0.0000, 0.0000, 0.0000], [0.0000, 0.0000, 0.5000], [0.0000, 0.5000, 0.0000], [0.5000, 0.0000, 0.0000]], "polymorph_energy_mev_per_atom": 2109, "total_magnetization_mub_per_fu": 4.00, "space_group": "Fd-3m, No. 227", "crystal_system": "cubic"}

---

Record 5
{"formula": "PrCdPd", "functional": "PBE-GGA", "state": "relaxed", "cell": [[7.3740, 0.0000, 0.0000], [-3.6870, 6.3861, 0.0000], [0.0000, 0.0000, 4.5381]], "species": ["Pr", "Pr", "Pr", "Cd", "Cd", "Cd", "Pd", "Pd", "Pd"], "fractional_positions": [[0.0000, 0.5685, 0.0000], [0.4315, 0.4315, 0.0000], [0.5685, 0.0000, 0.0000], [0.0000, 0.0000, 0.0000], [0.3333, 0.6667, 0.5000], [0.6667, 0.3333, 0.5000], [0.0000, 0.2386, 0.5000], [0.2386, 0.0000, 0.5000], [0.7614, 0.7614, 0.5000]], "total_magnetization_mub_per_fu": 0.09, "space_group": "P-62m, No. 189", "crystal_system": "hexagonal", "ef_mev_per_atom": -436}

---

Record 6
{"formula": "SrMgCd2Au", "functional": "PBE-GGA", "state": "relaxed", "cell": [[-2.2455, 2.2455, 6.3543], [2.2455, -2.2455, 6.3543], [2.2455, 2.2455, -6.3543]], "species": ["Sr", "Mg", "Cd", "Cd", "Au"], "fractional_positions": [[0.0000, 0.0000, 0.0000], [0.6253, 0.6253, 0.0000], [0.2704, 0.7704, 0.5000], [0.7704, 0.2704, 0.5000], [0.4193, 0.4193, 0.0000]], "space_group": "I4mm, No. 107", "total_energy_ry_per_atom": -0.1490, "crystal_system": "tetragonal"}

---

Record 7
{"formula": "Hf3N", "functional": "PBE-GGA", "state": "relaxed", "cell": [[5.5645, 0.0000, 0.0000], [-2.7823, 4.8190, 0.0000], [0.0000, 0.0000, 5.1980]], "species": ["Hf", "Hf", "Hf", "Hf", "Hf", "Hf", "N", "N"], "fractional_positions": [[0.0000, 0.3465, 0.0000], [0.0000, 0.6535, 0.5000], [0.3465, 0.0000, 0.0000], [0.3465, 0.3465, 0.5000], [0.6535, 0.0000, 0.5000], [0.6535, 0.6535, 0.0000], [0.3333, 0.6667, 0.2500], [0.6667, 0.3333, 0.7500]], "total_magnetization_mub_per_fu": 0.00, "space_group": "P6_322, No. 182", "total_energy_ry_per_atom": -0.7730, "crystal_system": "hexagonal"}

---

Record 8
{"formula": "PrTe2Pd2", "functional": "PBE-GGA", "state": "relaxed", "cell": [[-2.1142, 2.1142, 6.5945], [2.1142, -2.1142, 6.5945], [2.1142, 2.1142, -6.5945]], "species": ["Pr", "Te", "Te", "Pd", "Pd"], "fractional_positions": [[0.0000, 0.0000, 0.0000], [0.3789, 0.3789, 0.0000], [0.6211, 0.6211, 0.0000], [0.2500, 0.7500, 0.5000], [0.7500, 0.2500, 0.5000]], "polymorph_energy_mev_per_atom": 0, "total_magnetization_mub_per_fu": 0.01, "space_group": "I4/mmm, No. 139", "crystal_system": "tetragonal"}

---

Record 9
{"formula": "CsZrTe", "functional": "PBE-GGA", "state": "relaxed", "cell": [[0.0000, 4.0109, 4.0109], [4.0109, 0.0000, 4.0109], [4.0109, 4.0109, 0.0000]], "species": ["Cs", "Zr", "Te"], "fractional_positions": [[0.0000, 0.0000, 0.0000], [0.2500, 0.2500, 0.2500], [0.7500, 0.7500, 0.7500]], "polymorph_energy_mev_per_atom": 674, "total_magnetization_mub_per_fu": 3.00, "space_group": "F-43m, No. 216", "crystal_system": "cubic"}

---

Record 10
{"formula": "KAl3In6Ni2", "functional": "PBE-GGA", "state": "relaxed", "cell": [[8.4395, 0.0000, 0.0000], [-4.2198, 7.3089, 0.0000], [0.0000, 0.0000, 4.2284]], "species": ["K", "Al", "Al", "Al", "In", "In", "In", "In", "In", "In", "Ni", "Ni"], "fractional_positions": [[0.0000, 0.0000, 0.0000], [0.0000, 0.5000, 0.0000], [0.5000, 0.0000, 0.0000], [0.5000, 0.5000, 0.0000], [0.2069, 0.4137, 0.5000], [0.2069, 0.7931, 0.5000], [0.4137, 0.2069, 0.5000], [0.5863, 0.7931, 0.5000], [0.7931, 0.2069, 0.5000], [0.7931, 0.5863, 0.5000], [0.3333, 0.6667, 0.0000], [0.6667, 0.3333, 0.0000]], "total_magnetization_mub_per_fu": 0.00, "space_group": "P6/mmm, No. 191", "total_energy_ry_per_atom": -0.2579, "crystal_system": "hexagonal"}

---

Record 11
{"formula": "NaZrAu3Se4", "functional": "PBE-GGA", "state": "relaxed", "cell": [[6.2819, 0.0000, 0.0000], [0.0000, 6.2819, 0.0000], [0.0000, 0.0000, 6.2819]], "species": ["Na", "Zr", "Au", "Au", "Au", "Se", "Se", "Se", "Se"], "fractional_positions": [[0.0000, 0.0000, 0.0000], [0.5000, 0.5000, 0.5000], [0.0000, 0.5000, 0.5000], [0.5000, 0.0000, 0.5000], [0.5000, 0.5000, 0.0000], [0.2626, 0.2626, 0.2626], [0.2626, 0.7374, 0.7374], [0.7374, 0.2626, 0.7374], [0.7374, 0.7374, 0.2626]], "total_magnetization_mub_per_fu": 0.00, "space_group": "P-43m, No. 215", "total_energy_ry_per_atom": -0.3208, "crystal_system": "cubic"}

---

Record 12
{"formula": "Pm2ZrCl2", "functional": "PBE-GGA", "state": "relaxed", "cell": [[-2.9802, 2.9802, 6.7995], [2.9802, -2.9802, 6.7995], [2.9802, 2.9802, -6.7995]], "species": ["Pm", "Pm", "Pm", "Pm", "Zr", "Zr", "Cl", "Cl", "Cl", "Cl"], "fractional_positions": [[0.0000, 0.0000, 0.0000], [0.0000, 0.0000, 0.5000], [0.0000, 0.5000, 0.0000], [0.5000, 0.0000, 0.5000], [0.3750, 0.6250, 0.7500], [0.6250, 0.3750, 0.2500], [0.1846, 0.4346, 0.7500], [0.4346, 0.1846, 0.2500], [0.5654, 0.8154, 0.7500], [0.8154, 0.5654, 0.2500]], "total_magnetization_mub_per_fu": 0.04, "space_group": "I4_1/amd, No. 141", "total_energy_ry_per_atom": -0.3401, "crystal_system": "tetragonal"}

---

Record 13
{"formula": "TbC", "functional": "PBE-GGA", "state": "relaxed", "cell": [[3.7246, 0.0000, 0.0000], [-1.8623, 3.2256, 0.0000], [0.0000, 0.0000, 5.5321]], "species": ["Tb", "Tb", "C", "C"], "fractional_positions": [[0.3333, 0.6667, 0.2500], [0.6667, 0.3333, 0.7500], [0.0000, 0.0000, 0.0000], [0.0000, 0.0000, 0.5000]], "total_magnetization_mub_per_fu": 0.01, "space_group": "P6_3/mmc, No. 194", "total_energy_ry_per_atom": -0.5046, "crystal_system": "hexagonal"}

---

Record 14
{"formula": "RbNiPd", "functional": "PBE-GGA", "state": "relaxed", "cell": [[0.0000, 3.4077, 3.4077], [3.4077, 0.0000, 3.4077], [3.4077, 3.4077, 0.0000]], "species": ["Rb", "Ni", "Pd"], "fractional_positions": [[0.0000, 0.0000, 0.0000], [0.5000, 0.5000, 0.5000], [0.2500, 0.2500, 0.2500]], "polymorph_energy_mev_per_atom": 48, "total_magnetization_mub_per_fu": 0.71, "space_group": "F-43m, No. 216", "crystal_system": "cubic"}

---

Record 15
{"formula": "Ba2ZnCl2O2", "functional": "PBE-GGA", "state": "relaxed", "cell": [[-2.1131, 2.1131, 8.0211], [2.1131, -2.1131, 8.0211], [2.1131, 2.1131, -8.0211]], "species": ["Ba", "Ba", "Zn", "Cl", "Cl", "O", "O"], "fractional_positions": [[0.1118, 0.1118, 0.0000], [0.8882, 0.8882, 0.0000], [0.5000, 0.5000, 0.0000], [0.3176, 0.3176, 0.0000], [0.6824, 0.6824, 0.0000], [0.0000, 0.5000, 0.5000], [0.5000, 0.0000, 0.5000]], "polymorph_energy_mev_per_atom": 24, "space_group": "I4/mmm, No. 139", "crystal_system": "tetragonal"}

---

Record 16
{"formula": "AgS", "functional": "PBE-GGA", "state": "relaxed", "cell": [[0.0000, 2.8523, 2.8523], [2.8523, 0.0000, 2.8523], [2.8523, 2.8523, 0.0000]], "species": ["Ag", "S"], "fractional_positions": [[0.0000, 0.0000, 0.0000], [0.7500, 0.7500, 0.7500]], "space_group": "F-43m, No. 216", "total_energy_ry_per_atom": -0.2437, "crystal_system": "cubic"}

---

Record 17
{"formula": "ScAsW2", "functional": "PBE-GGA", "state": "relaxed", "cell": [[0.0000, 3.2178, 3.2178], [3.2178, 0.0000, 3.2178], [3.2178, 3.2178, 0.0000]], "species": ["Sc", "As", "W", "W"], "fractional_positions": [[0.0000, 0.0000, 0.0000], [0.7500, 0.7500, 0.7500], [0.2500, 0.2500, 0.2500], [0.5000, 0.5000, 0.5000]], "total_magnetization_mub_per_fu": 0.00, "space_group": "F-43m, No. 216", "total_energy_ry_per_atom": -0.6649, "crystal_system": "cubic"}

---

Record 18
{"formula": "CoCuBiPt", "functional": "PBE-GGA", "state": "relaxed", "cell": [[0.0000, 3.1750, 3.1750], [3.1750, 0.0000, 3.1750], [3.1750, 3.1750, 0.0000]], "species": ["Co", "Cu", "Bi", "Pt"], "fractional_positions": [[0.0000, 0.0000, 0.0000], [0.5000, 0.5000, 0.5000], [0.7500, 0.7500, 0.7500], [0.2500, 0.2500, 0.2500]], "polymorph_energy_mev_per_atom": 0, "total_magnetization_mub_per_fu": 1.26, "space_group": "F-43m, No. 216", "crystal_system": "cubic"}